Here is TlTcC3 after structural relaxation from Alexandria. Energies are from PBE-GGA.

Properties
E_form, kJ/mol of atoms: 175.4
M_tot, Bohr magnetons per cell: 0.00
E above lowest polymorph, meV per atom: 0.0
SG: Pm-3m (221)

Geometry as POSCAR:
```
TlTcC3
1.0
4.123 0.000 0.000
0.000 4.123 0.000
0.000 0.000 4.123
C Tl Tc
3 1 1
direct
0.000 0.500 0.000
0.000 0.000 0.500
0.500 0.000 0.000
0.500 0.500 0.500
0.000 0.000 0.000
```